# 1
Entry from the Alexandria database: an optimized crystal structure of Y2InCl (PBE).

Cell and atoms, written as CIF:
```
data_Y2InCl
_chemical_formula_sum 'Y6 In3 Cl3'
_space_group_name_H-M_alt 'R -3 m'
_space_group_IT_number 166
_space_group_name_Hall '-R 3 2"'
_cell_length_a 3.6527
_cell_length_b 3.6527
_cell_length_c 26.6327
_cell_angle_alpha 90.00
_cell_angle_beta 90.00
_cell_angle_gamma 120.00
loop_
_atom_site_label
_atom_site_type_symbol
_atom_site_fract_x
_atom_site_fract_y
_atom_site_fract_z
Y1 Y 0.0000 0.0000 0.2432
In1 In 0.0000 0.0000 0.0000
Cl1 Cl 0.0000 0.0000 0.5000
```

Properties
Excess energy over the best structure of this formula in the dataset in kJ/mol of formula units: 50
Mass density in g/cm³: 5.311
Crystal system: trigonal

# 2
Entry from the Alexandria database: an optimized crystal structure of Y2InCl (PBE).

Cell and atoms, written as CIF:
```
data_Y2InCl
_chemical_formula_sum 'Y4 In2 Cl2'
_space_group_name_H-M_alt 'C m m m'
_space_group_IT_number 65
_space_group_name_Hall '-C 2 2'
_cell_length_a 3.7688
_cell_length_b 5.9936
_cell_length_c 9.4679
_cell_angle_alpha 90.00
_cell_angle_beta 90.00
_cell_angle_gamma 90.00
loop_
_atom_site_label
_atom_site_type_symbol
_atom_site_fract_x
_atom_site_fract_y
_atom_site_fract_z
Y1 Y 0.0000 0.0000 0.2389
In1 In 0.0000 0.5000 0.5000
Cl1 Cl 0.0000 0.5000 0.0000
```

Properties
Excess energy over the best structure of this formula in the dataset in kJ/mol of formula units: 89
Mass density in g/cm³: 5.095
Crystal system: orthorhombic

# 3
Entry from the Alexandria database: an optimized crystal structure of YIn3Cl7 (PBE).

Cell and atoms, written as CIF:
```
data_YIn3Cl7
_chemical_formula_sum 'Y2 In6 Cl14'
_space_group_name_H-M_alt 'C 1 m 1'
_space_group_IT_number 8
_space_group_name_Hall 'C -2y'
_cell_length_a 10.3247
_cell_length_b 10.0653
_cell_length_c 7.3013
_cell_angle_alpha 90.00
_cell_angle_beta 112.68
_cell_angle_gamma 90.00
loop_
_atom_site_label
_atom_site_type_symbol
_atom_site_fract_x
_atom_site_fract_y
_atom_site_fract_z
Y1 Y 0.0000 0.0000 0.0000
In1 In 0.4658 0.2711 0.4787
In2 In 0.4687 0.0000 0.9406
Cl1 Cl 0.1358 0.0000 0.7546
Cl2 Cl 0.1489 0.1917 0.2356
Cl3 Cl 0.3358 0.5000 0.2079
Cl4 Cl 0.3454 0.3050 0.7725
Cl5 Cl 0.4922 0.0000 0.5383
```

Properties
Mass density in g/cm³: 3.233
E in eV per atom: -3.835
Crystal system: monoclinic

# 4
Entry from the Alexandria database: an optimized crystal structure of YInCl4 (PBE).

Cell and atoms, written as CIF:
```
data_YInCl4
_chemical_formula_sum 'Y4 In4 Cl16'
_space_group_name_H-M_alt 'F -4 3 m'
_space_group_IT_number 216
_space_group_name_Hall 'F -4 2 3'
_cell_length_a 8.4064
_cell_length_b 8.4064
_cell_length_c 8.4064
_cell_angle_alpha 90.00
_cell_angle_beta 90.00
_cell_angle_gamma 90.00
loop_
_atom_site_label
_atom_site_type_symbol
_atom_site_fract_x
_atom_site_fract_y
_atom_site_fract_z
Y1 Y 0.0000 0.0000 0.0000
In1 In 0.2500 0.2500 0.2500
Cl1 Cl 0.1256 0.1256 0.6256
```

Properties
Excess energy over the best structure of this formula in the dataset in kJ/mol of formula units: 847
Mass density in g/cm³: 3.863
Crystal system: cubic

# 5
Entry from the Alexandria database: an optimized crystal structure of Y2InCl (PBE).

Cell and atoms, written as CIF:
```
data_Y2InCl
_chemical_formula_sum 'Y8 In4 Cl4'
_space_group_name_H-M_alt 'I -4 2 d'
_space_group_IT_number 122
_space_group_name_Hall 'I -4 2bw'
_cell_length_a 5.9194
_cell_length_b 5.9194
_cell_length_c 15.3059
_cell_angle_alpha 90.00
_cell_angle_beta 90.00
_cell_angle_gamma 90.00
loop_
_atom_site_label
_atom_site_type_symbol
_atom_site_fract_x
_atom_site_fract_y
_atom_site_fract_z
Y1 Y 0.2122 0.2500 0.1250
In1 In 0.0000 0.0000 0.5000
Cl1 Cl 0.0000 0.0000 0.0000
```

Properties
Excess energy over the best structure of this formula in the dataset in kJ/mol of formula units: 205
Mass density in g/cm³: 4.063
Crystal system: tetragonal

# 6
Entry from the Alexandria database: an optimized crystal structure of Y2InCl (PBE).

Cell and atoms, written as CIF:
```
data_Y2InCl
_chemical_formula_sum 'Y8 In4 Cl4'
_space_group_name_H-M_alt 'F -4 3 m'
_space_group_IT_number 216
_space_group_name_Hall 'F -4 2 3'
_cell_length_a 7.6014
_cell_length_b 7.6014
_cell_length_c 7.6014
_cell_angle_alpha 90.00
_cell_angle_beta 90.00
_cell_angle_gamma 90.00
loop_
_atom_site_label
_atom_site_type_symbol
_atom_site_fract_x
_atom_site_fract_y
_atom_site_fract_z
Y1 Y 0.0000 0.0000 0.0000
Y2 Y 0.2500 0.2500 0.2500
In1 In 0.0000 0.0000 0.5000
Cl1 Cl 0.2500 0.2500 0.7500
```

Properties
Excess energy over the best structure of this formula in the dataset in kJ/mol of formula units: 359
Mass density in g/cm³: 4.961
Crystal system: cubic